DFT (PBE) results for Sr3Li5 after structural relaxation.

Calculated values
Space-group type: P-1
Calculated density: 1.810 g cm⁻³
Uncorrected energy: -14.3 eV/f.u.
Crystal system: triclinic
Total moment: 0.000 μB per atom
V: 34.13 A^3/atom
DFT formation energy: 0.038 eV per atom

```
data_Sr3Li5
_space_group_name_H-M_alt 'P 1'
_space_group_IT_number 1
_cell_length_a 6.769
_cell_length_b 8.971
_cell_length_c 9.753
_cell_angle_alpha 76.89
_cell_angle_beta 82.11
_cell_angle_gamma 71.63
loop_
_space_group_symop_operation_xyz
'x,y,z'
loop_
_atom_site_label
_atom_site_type_symbol
_atom_site_fract_x
_atom_site_fract_y
_atom_site_fract_z
Sr1 Sr 0.137 0.028 0.174
Sr2 Sr 0.209 0.261 0.528
Sr3 Sr 0.210 0.548 0.106
Sr4 Sr 0.790 0.452 0.894
Sr5 Sr 0.791 0.739 0.472
Sr6 Sr 0.863 0.972 0.826
Li1 Li 0.228 0.879 0.535
Li2 Li 0.253 0.587 0.724
Li3 Li 0.372 0.621 0.395
Li4 Li 0.373 0.235 0.877
Li5 Li 0.410 0.863 0.820
Li6 Li 0.590 0.137 0.180
Li7 Li 0.627 0.765 0.123
Li8 Li 0.628 0.379 0.605
Li9 Li 0.747 0.413 0.276
Li10 Li 0.772 0.121 0.465
```